(a)
A relaxed structure of ErTh4Sc2. Source: Alexandria via LeMat-Bulk, functional PBE-GGA.

```
ErTh4Sc2
1.0
5.246 0.000 0.000
0.000 9.222 0.000
0.000 0.000 9.222
Sc Th Er
4 8 2
Cartesian
2.623 2.874 2.874
0.000 7.485 1.737
2.623 6.348 6.348
0.000 1.737 7.485
2.623 1.259 5.700
0.000 5.870 8.133
0.000 8.133 5.870
2.623 5.700 1.259
2.623 3.522 7.963
0.000 1.089 3.352
0.000 3.352 1.089
2.623 7.963 3.522
0.000 4.611 4.611
2.623 0.000 0.000
```


(b)
A relaxed structure of ErTh4Sc2. Source: Alexandria via LeMat-Bulk, functional PBE-GGA.

```
ErTh4Sc2
1.0
-4.591 4.641 1.145
0.980 -5.170 4.030
5.694 3.363 0.442
Sc Th Er
2 4 1
Cartesian
2.435 -1.036 3.530
-0.351 3.870 2.088
1.521 1.211 1.185
2.192 6.086 2.151
0.562 1.624 4.432
-0.108 -3.251 3.467
-1.805 -0.264 2.588
```


The most stable of them is (b).


(a)
A relaxed structure of Er2ThSc6. Source: Alexandria via LeMat-Bulk, functional PBE-GGA.

```
Er2ThSc6
1.0
-0.015 -3.147 0.954
9.318 -1.541 0.731
4.667 0.748 8.209
Sc Er Th
6 2 1
Cartesian
3.132 -1.615 6.048
6.203 -1.588 6.206
10.838 -2.319 3.845
6.161 -3.106 1.177
7.809 -0.828 8.716
7.767 -2.358 3.690
9.087 -3.191 6.629
4.882 -0.753 3.267
-0.015 -3.146 0.954
```


(b)
A relaxed structure of Er2ThSc6. Source: Alexandria via LeMat-Bulk, functional PBE-GGA.

```
Er2ThSc6
1.0
3.491 -0.018 0.393
1.073 7.399 3.868
-0.309 -0.017 9.278
Sc Th Er
6 1 2
Cartesian
3.022 4.835 2.795
3.077 1.287 3.933
1.178 6.076 9.606
3.299 3.604 8.599
1.543 2.546 1.466
0.956 3.759 4.940
0.000 0.000 0.000
1.742 1.315 6.823
2.514 6.048 6.715
```


The most stable of them is (a).